Here is a relaxed structure of Hf2Ga3Co from Alexandria. Energies are from GGA-PBE.

Unit cell a=2.9764 b=5.4044 c=13.4457 alpha=90.00 beta=90.00 gamma=90.00
Space group Immm (No. 71)
One atom of each set of equivalent atoms:
Hf 0.0000 0.0000 0.1840 (multiplicity 4)
Ga 0.0000 0.5000 0.1400 (multiplicity 4)
Ga 0.0000 0.5000 0.5000 (multiplicity 2)
Co 0.0000 0.0000 0.5000 (multiplicity 2)

Values from the calculation:
DOS(E_F) ... 11.6 states/eV per cell
Final energy ... -36.22 eV per formula unit
Magnetization ... 1.90 Bohr magnetons per cell
ΔH_f (0 K) ... -22 meV/atom



Here is a relaxed structure of HfGa2Co from Alexandria. Energies are from GGA-PBE.

Unit cell a=12.2471 b=12.2471 c=8.1284 alpha=90.00 beta=90.00 gamma=90.00
Space group I4mm (No. 107)
One atom of each set of equivalent atoms:
Hf 0.0000 0.0000 0.0000 (multiplicity 2)
Hf 0.0000 0.0000 0.4658 (multiplicity 2)
Hf 0.0000 0.2805 0.3951 (multiplicity 8)
Hf 0.2006 0.2006 0.8832 (multiplicity 8)
Ga 0.0000 0.1626 0.7205 (multiplicity 8)
Ga 0.0000 0.3840 0.8703 (multiplicity 8)
Ga 0.1309 0.1309 0.2274 (multiplicity 8)
Ga 0.1405 0.3514 0.1322 (multiplicity 16)
Co 0.0000 0.2156 0.0311 (multiplicity 8)
Co 0.0000 0.5000 0.1203 (multiplicity 4)
Co 0.1624 0.1624 0.5371 (multiplicity 8)

Values from the calculation:
DOS(E_F) ... 48.5 states/eV per cell
Final energy ... -25.17 eV per formula unit
Magnetization ... 0.00 Bohr magnetons per cell
ΔH_f (0 K) ... -513 meV/atom



> What is the formula in the first record?

Hf2Ga3Co



> Number 2 is which compound?

HfGa2Co



> Among the records above, which one has the highest final energy?

HfGa2Co